# Fe5O8F2

Crystalline Fe5O8F2 at its relaxed geometry (PBE+U, the Alexandria database).

```
Fe5O8F2
1.0
-1.4109 -0.8500 -4.3259
7.1899 0.1219 -2.4563
3.6468 -8.9908 0.2898
Fe O F
10 16 4
Cartesian
2.5998 -6.6803 -2.2661
4.7011 -4.7505 -3.1943
2.8625 -3.6689 -0.4500
6.9027 -3.1684 -4.4201
7.9812 -5.3981 -1.9480
3.6155 -2.4928 -5.7276
2.3092 -9.7854 -3.8680
1.7627 -1.1957 -2.7069
5.7678 -7.1954 -0.7760
7.5171 -8.4207 -3.6301
3.0320 -8.0169 -3.5843
4.9450 -8.8912 -1.0130
2.8431 -5.2578 -3.5358
6.5918 -4.4712 -3.0458
7.1283 -7.1456 -2.1937
4.4867 -6.2662 -2.0121
4.2356 -3.4110 -1.7689
-0.1284 -1.7259 -3.0445
7.8993 -7.0061 -4.8977
5.6499 -8.8115 -3.8617
1.5430 -2.7980 -1.5606
4.4360 -0.7427 -5.3277
7.3800 -4.4780 -5.7955
4.9436 -3.3800 -4.5648
2.1792 -5.4444 -0.8822
3.7412 -0.8822 -2.6208
5.1747 -6.1915 -4.7217
6.4361 -1.5967 -2.8381
2.2237 -2.6057 -4.2522
9.5608 -8.0360 -3.3405
```

Values from the calculation:
SG = No. 1
distance to the lowest polymorph of the same formula = 57 meV per atom
DOS(E_F) = 13.83 states/eV per cell